Entry 1:
Compound: La3Pr4Ho2
Source: Alexandria via LeMat-Bulk
Functional: PBE
Structure: relaxed

Cell and atoms, written as POSCAR:
```
La3Pr4Ho2
1.0
-2.031 5.286 1.738
-4.429 -2.003 -9.177
2.591 -3.208 12.785
La Pr Ho
3 4 2
Cartesian
-3.293 -1.214 -0.157
0.000 0.000 0.000
-0.575 1.288 5.503
-1.501 -1.571 3.025
-2.367 1.646 2.321
0.804 -2.757 9.326
-4.672 2.832 -3.980
-0.656 -2.292 6.204
-3.213 2.366 -0.858
```

Summary:
Formation energy: 9 kJ/mol of atoms
E_tot: -4.6894 eV/atom
Distance to the lowest polymorph of the same formula: 0.000 eV per atom
Spin magnetization: 0.00 μB per cell
Volume: 319.1 Å³/cell
Mass density: 6.82 g/cm³

Entry 2:
Compound: La4Pr6Ho
Source: Alexandria via LeMat-Bulk
Functional: PBE
Structure: relaxed

Cell and atoms, written as POSCAR:
```
La4Pr6Ho
1.0
6.854 0.000 0.000
0.000 6.854 0.000
-3.427 -3.427 8.515
La Pr Ho
4 6 1
Cartesian
-2.330 2.330 6.460
5.756 5.756 2.054
2.330 -2.330 6.460
1.097 1.097 2.054
4.684 2.170 3.082
2.170 4.684 3.082
1.257 1.257 5.433
0.000 3.427 0.000
-1.257 -1.257 5.433
3.427 0.000 0.000
3.427 3.427 0.000
```

Summary:
Formation energy: 23 kJ/mol of atoms
E_tot: -4.5768 eV/atom
Distance to the lowest polymorph of the same formula: 0.000 eV per atom
Spin magnetization: 0.00 μB per cell
Volume: 400.0 Å³/cell
Mass density: 6.50 g/cm³

Entry 3:
Compound: La3Pr2Ho8
Source: Alexandria via LeMat-Bulk
Functional: PBE
Structure: relaxed

Cell and atoms, written as POSCAR:
```
La3Pr2Ho8
1.0
-5.981 1.629 0.928
-2.813 -4.209 -3.658
4.723 -10.266 6.364
La Pr Ho
3 2 8
Cartesian
0.000 0.000 0.000
-3.501 -0.880 0.164
-0.569 -11.966 3.469
-3.790 -6.861 1.886
-0.279 -5.985 1.747
-1.050 -3.429 -0.618
-3.020 -9.417 4.251
-2.074 -6.807 -1.260
-1.995 -6.039 4.894
-1.319 -9.373 1.097
0.479 -8.542 4.101
-4.549 -4.304 -0.468
-2.750 -3.473 2.536
```

Summary:
Formation energy: 3 kJ/mol of atoms
E_tot: -4.6633 eV/atom
Distance to the lowest polymorph of the same formula: 0.000 eV per atom
Spin magnetization: 0.00 μB per cell
Volume: 431.0 Å³/cell
Mass density: 7.77 g/cm³

Entry 4:
Compound: LaPr4Ho2
Source: Alexandria via LeMat-Bulk
Functional: PBE
Structure: relaxed

Cell and atoms, written as POSCAR:
```
LaPr4Ho2
1.0
-10.012 -5.120 -5.967
12.415 -0.091 2.814
-2.334 -0.871 6.461
Pr Ho La
8 4 2
Cartesian
-6.972 -4.478 1.876
6.229 -1.344 3.357
5.856 -1.797 6.954
-6.563 -4.408 -1.595
-0.007 -0.696 4.063
1.509 -3.028 -0.860
-0.478 -3.647 2.050
-1.212 -0.793 -0.096
-3.486 -3.599 0.041
-8.046 -4.786 -4.873
9.110 -1.113 5.531
2.454 -2.441 6.054
2.956 -2.669 2.597
-1.485 -3.491 -2.829
```

Summary:
Formation energy: 6 kJ/mol of atoms
E_tot: -4.6796 eV/atom
Spin magnetization: 0.00 μB per cell
Volume: 491.4 Å³/cell
Mass density: 6.98 g/cm³

Entry 5:
Compound: La2Pr3Ho2
Source: Alexandria via LeMat-Bulk
Functional: PBE
Structure: relaxed

Cell and atoms, written as POSCAR:
```
La2Pr3Ho2
1.0
-0.192 3.321 1.329
-4.076 2.665 -7.250
-4.836 -4.706 6.233
La Pr Ho
2 3 2
Cartesian
-4.446 3.705 -5.075
-4.659 -2.425 5.386
-2.038 1.333 -3.625
-5.342 0.817 -2.814
-3.763 0.464 3.125
-6.247 1.293 0.694
-2.858 -0.012 -0.383
```

Summary:
Formation energy: 11 kJ/mol of atoms
E_tot: -4.6480 eV/atom
Distance to the lowest polymorph of the same formula: 0.096 eV per atom
Spin magnetization: 0.00 μB per cell
Volume: 246.8 Å³/cell
Mass density: 6.93 g/cm³

Entry 6:
Compound: La2Pr3Ho6
Source: Alexandria via LeMat-Bulk
Functional: PBE
Structure: relaxed

Cell and atoms, written as POSCAR:
```
La2Pr3Ho6
1.0
6.042 0.000 1.694
3.021 5.333 0.847
-1.485 0.000 11.637
La Pr Ho
2 3 6
Cartesian
2.278 3.436 6.666
5.299 1.897 7.513
0.000 0.000 0.000
3.021 1.749 0.847
6.042 3.584 1.694
3.349 3.553 10.008
3.350 0.000 9.945
0.328 1.780 9.161
1.207 0.000 3.387
4.228 1.780 4.170
7.249 3.553 5.017
```

Summary:
Formation energy: 18 kJ/mol of atoms
E_tot: -4.5119 eV/atom
Distance to the lowest polymorph of the same formula: 0.000 eV per atom
Spin magnetization: 0.00 μB per cell
Volume: 388.3 Å³/cell
Mass density: 7.23 g/cm³

Entry 7:
Compound: La3Pr3Ho
Source: Alexandria via LeMat-Bulk
Functional: PBE
Structure: relaxed

Cell and atoms, written as POSCAR:
```
La3Pr3Ho
1.0
5.961 0.000 0.000
0.000 9.925 0.000
0.000 -4.962 8.595
La Pr Ho
6 6 2
Cartesian
4.471 2.849 3.271
4.471 6.371 4.492
1.490 -0.705 7.764
4.471 5.668 0.832
1.490 -1.408 4.103
1.490 2.114 5.324
4.471 -2.822 8.191
4.471 3.542 6.943
1.490 5.683 6.539
4.471 -0.721 2.056
1.490 1.420 1.652
1.490 7.784 0.404
1.490 4.962 2.865
4.471 0.000 5.730
```

Summary:
Formation energy: 3 kJ/mol of atoms
E_tot: -4.7797 eV/atom
Distance to the lowest polymorph of the same formula: 0.000 eV per atom
Spin magnetization: 0.00 μB per cell
Volume: 508.5 Å³/cell
Mass density: 6.56 g/cm³

Entry 8:
Compound: LaPr4Ho
Source: Alexandria via LeMat-Bulk
Functional: PBE
Structure: relaxed

Cell and atoms, written as POSCAR:
```
LaPr4Ho
1.0
7.965 1.978 1.221
5.152 6.389 1.221
-0.678 -0.433 5.126
La Pr Ho
1 4 1
Cartesian
6.219 3.967 3.784
3.703 2.362 5.942
8.735 5.572 1.626
10.603 6.763 4.600
1.836 1.171 2.968
0.000 0.000 0.000
```

Summary:
Formation energy: 2 kJ/mol of atoms
E_tot: -4.7514 eV/atom
Distance to the lowest polymorph of the same formula: 0.000 eV per atom
Spin magnetization: 0.00 μB per cell
Volume: 213.8 Å³/cell
Mass density: 6.74 g/cm³

Entry 9:
Compound: LaPrHo14
Source: Alexandria via LeMat-Bulk
Functional: PBE
Structure: relaxed

Cell and atoms, written as POSCAR:
```
LaPrHo14
1.0
7.034 1.000 0.000
-1.002 7.033 0.000
0.000 0.000 10.045
La Pr Ho
1 1 14
Cartesian
4.021 3.262 5.022
0.002 6.280 5.022
0.003 6.279 0.000
4.019 3.263 0.000
0.504 2.762 5.022
0.503 2.763 0.000
3.520 6.779 5.022
3.519 6.779 0.000
2.511 1.252 7.576
2.511 1.252 2.469
5.530 5.273 7.576
5.530 5.273 2.469
2.009 4.773 7.575
2.009 4.773 2.470
6.032 1.752 7.577
6.032 1.752 2.468
```

Summary:
Formation energy: 2 kJ/mol of atoms
E_tot: -4.5885 eV/atom
Spin magnetization: 0.00 μB per cell
Volume: 507.0 Å³/cell
Mass density: 8.48 g/cm³

Entry 10:
Compound: La5Pr6Ho
Source: Alexandria via LeMat-Bulk
Functional: PBE
Structure: relaxed

Cell and atoms, written as POSCAR:
```
La5Pr6Ho
1.0
-10.288 -2.465 6.292
1.747 -5.446 2.934
2.805 0.220 5.779
La Pr Ho
5 6 1
Cartesian
-2.981 -1.991 7.490
1.519 -1.740 2.907
-4.270 -3.955 4.613
3.033 -3.486 5.806
-2.754 -5.699 7.514
-6.658 -2.231 6.889
-0.602 -3.728 5.197
-2.116 -1.971 2.294
-6.424 -5.939 6.932
-5.134 -3.963 9.807
0.922 -5.460 8.116
0.000 0.000 0.000
```

Summary:
Formation energy: 1 kJ/mol of atoms
E_tot: -4.8102 eV/atom
Spin magnetization: 0.00 μB per cell
Volume: 433.5 Å³/cell
Mass density: 6.53 g/cm³

Entry 11:
Compound: La6PrHo3
Source: Alexandria via LeMat-Bulk
Functional: PBE
Structure: relaxed

Cell and atoms, written as POSCAR:
```
La6PrHo3
1.0
-2.906 0.726 -4.830
-8.576 0.625 5.254
4.404 11.731 5.793
La Pr Ho
12 2 6
Cartesian
-4.351 10.453 7.525
-6.232 6.982 4.796
-3.447 3.028 2.522
-3.631 10.054 3.695
-0.846 6.099 1.421
-2.727 2.629 -1.308
-6.785 4.862 1.466
-5.823 0.669 3.606
0.565 9.019 1.004
-7.644 4.063 5.213
-1.255 12.412 2.611
-0.293 8.220 4.751
-3.539 6.541 3.109
0.000 0.000 0.000
1.520 10.976 4.070
-5.741 0.675 0.212
-8.598 2.106 2.148
-3.855 5.599 -0.188
2.202 5.865 2.897
-3.223 7.483 6.406
```

Summary:
Formation energy: 18 kJ/mol of atoms
E_tot: -4.6167 eV/atom
Distance to the lowest polymorph of the same formula: 0.069 eV per atom
Spin magnetization: 0.00 μB per cell
Volume: 720.7 Å³/cell
Mass density: 6.77 g/cm³

Entry 12:
Compound: La3PrHo
Source: Alexandria via LeMat-Bulk
Functional: PBE
Structure: relaxed

Cell and atoms, written as POSCAR:
```
La3PrHo
1.0
-7.168 -1.919 1.030
-0.422 -3.400 -9.431
5.088 -2.346 3.854
La Pr Ho
6 2 2
Cartesian
-3.170 -4.256 -2.795
-0.426 -3.638 1.733
0.668 -3.409 -1.752
2.595 -2.840 1.308
-2.077 -4.027 -6.280
-5.098 -4.825 -5.856
-0.211 -1.700 -4.716
0.000 0.000 0.000
0.709 -5.160 -4.859
-3.212 -2.505 0.312
```

Summary:
Formation energy: 16 kJ/mol of atoms
E_tot: -4.6631 eV/atom
Distance to the lowest polymorph of the same formula: 0.000 eV per atom
Spin magnetization: 0.00 μB per cell
Volume: 360.3 Å³/cell
Mass density: 6.66 g/cm³